No. 1
Density functional theory data (GGA-PBE) for a relaxed Sc2CuH crystal.

It has space group I-42d (No. 122), with a = 6.065 Å, b = 6.065 Å, c = 6.872 Å, α = 90.00°, β = 90.00° and γ = 90.00°. Symmetry generates all atoms from Sc at (0.168, 0.750, 0.125), Cu at (0.000, 0.000, 0.500) and H at (0.000, 0.000, 0.000).

The distance to the lowest polymorph of the same formula comes out at 0 meV per atom.

---

No. 2
Density functional theory data (GGA-PBE) for a relaxed Sc3CuH crystal.

It has space group Pm-3m (No. 221), with a = 4.380 Å, b = 4.380 Å, c = 4.380 Å, α = 90.00°, β = 90.00° and γ = 90.00°. Symmetry generates all atoms from Sc at (0.000, 0.000, 0.500), Cu at (0.500, 0.500, 0.500) and H at (0.000, 0.000, 0.000).

The distance to the lowest polymorph of the same formula comes out at 0 meV per atom.

---

No. 3
Density functional theory data (GGA-PBE) for a relaxed ScCuH crystal.

It has space group Pmm2 (No. 25), with a = 3.226 Å, b = 3.321 Å, c = 6.791 Å, α = 90.00°, β = 90.00° and γ = 90.00°. Symmetry generates all atoms from Sc at (0.000, 0.000, 0.000), Sc at (0.500, 0.500, 0.340), Cu at (0.000, 0.000, 0.597), Cu at (0.500, 0.500, 0.760), H at (0.000, 0.000, 0.345) and H at (0.000, 0.500, 0.163).

The distance to the lowest polymorph of the same formula comes out at 94 meV per atom.

---

No. 4
Density functional theory data (GGA-PBE) for a relaxed ScCuH crystal.

It has space group Pmma (No. 51), with a = 4.423 Å, b = 3.631 Å, c = 4.488 Å, α = 90.00°, β = 90.00° and γ = 90.00°. Symmetry generates all atoms from Sc at (0.250, 0.000, 0.246), Cu at (0.250, 0.500, 0.716) and H at (0.250, 0.000, 0.755).

The distance to the lowest polymorph of the same formula comes out at 132 meV per atom.

---

No. 5
Density functional theory data (GGA-PBE) for a relaxed ScCuHSe2 crystal.

It has space group P4/mmm (No. 123), with a = 4.687 Å, b = 4.687 Å, c = 3.544 Å, α = 90.00°, β = 90.00° and γ = 90.00°. Symmetry generates all atoms from Sc at (0.000, 0.000, 0.000), Cu at (0.500, 0.500, 0.000), H at (0.000, 0.000, 0.500) and Se at (0.000, 0.500, 0.500).

Its electronic total energy is -4.399 eV per atom.

---

No. 6
Density functional theory data (GGA-PBE) for a relaxed ScCu2SnH crystal.

It has space group P4/mmm (No. 123), with a = 4.157 Å, b = 4.157 Å, c = 4.079 Å, α = 90.00°, β = 90.00° and γ = 90.00°. Symmetry generates all atoms from Sc at (0.000, 0.000, 0.000), Cu at (0.000, 0.500, 0.500), Sn at (0.500, 0.500, 0.000) and H at (0.000, 0.000, 0.500).

Its electronic total energy is -4.592 eV per atom.

---

No. 7
Density functional theory data (GGA-PBE) for a relaxed ScTaCu2H crystal.

It has space group P4/mmm (No. 123), with a = 4.031 Å, b = 4.031 Å, c = 4.024 Å, α = 90.00°, β = 90.00° and γ = 90.00°. Symmetry generates all atoms from Sc at (0.000, 0.000, 0.000), Ta at (0.500, 0.500, 0.000), Cu at (0.000, 0.500, 0.500) and H at (0.000, 0.000, 0.500).

Its electronic total energy is -5.744 eV per atom.

---

No. 8
Density functional theory data (GGA-PBE) for a relaxed ScTa2CuH crystal.

It has space group P4/mmm (No. 123), with a = 5.119 Å, b = 5.119 Å, c = 3.141 Å, α = 90.00°, β = 90.00° and γ = 90.00°. Symmetry generates all atoms from Sc at (0.000, 0.000, 0.000), Ta at (0.000, 0.500, 0.000), Cu at (0.500, 0.500, 0.500) and H at (0.000, 0.000, 0.500).

Its electronic total energy is -6.164 eV per atom.

---

No. 9
Density functional theory data (GGA-PBE) for a relaxed ScTi2CuH crystal.

It has space group P4/mmm (No. 123), with a = 4.025 Å, b = 4.025 Å, c = 4.347 Å, α = 90.00°, β = 90.00° and γ = 90.00°. Symmetry generates all atoms from Sc at (0.000, 0.000, 0.000), Ti at (0.000, 0.500, 0.500), Cu at (0.500, 0.500, 0.000) and H at (0.000, 0.000, 0.500).

Its electronic total energy is -6.011 eV per atom.

---

No. 10
Density functional theory data (GGA-PBE) for a relaxed Sc2VCuH crystal.

It has space group P4/mmm (No. 123), with a = 4.579 Å, b = 4.579 Å, c = 3.543 Å, α = 90.00°, β = 90.00° and γ = 90.00°. Symmetry generates all atoms from Sc at (0.000, 0.500, 0.000), V at (0.000, 0.000, 0.500), Cu at (0.500, 0.500, 0.500) and H at (0.000, 0.000, 0.000).

Its electronic total energy is -5.931 eV per atom.

---

No. 11
Density functional theory data (GGA-PBE) for a relaxed YSc2CuH crystal.

It has space group P4/mmm (No. 123), with a = 4.381 Å, b = 4.381 Å, c = 4.792 Å, α = 90.00°, β = 90.00° and γ = 90.00°. Symmetry generates all atoms from Y at (0.000, 0.000, 0.000), Sc at (0.000, 0.500, 0.500), Cu at (0.500, 0.500, 0.000) and H at (0.000, 0.000, 0.500).

Its electronic total energy is -5.403 eV per atom.

---

No. 12
Density functional theory data (GGA-PBE) for a relaxed Y2ScCuH crystal.

It has space group P4/mmm (No. 123), with a = 4.899 Å, b = 4.899 Å, c = 4.145 Å, α = 90.00°, β = 90.00° and γ = 90.00°. Symmetry generates all atoms from Y at (0.000, 0.500, 0.000), Sc at (0.000, 0.000, 0.500), Cu at (0.500, 0.500, 0.500) and H at (0.000, 0.000, 0.000).

The distance to the lowest polymorph of the same formula comes out at 0 meV per atom.

---

No. 13
Density functional theory data (GGA-PBE) for a relaxed Y2ScCuH crystal.

It has space group P4/mmm (No. 123), with a = 5.607 Å, b = 5.607 Å, c = 3.570 Å, α = 90.00°, β = 90.00° and γ = 90.00°. Symmetry generates all atoms from Y at (0.000, 0.500, 0.000), Sc at (0.000, 0.000, 0.000), Cu at (0.500, 0.500, 0.500) and H at (0.000, 0.000, 0.500).

The distance to the lowest polymorph of the same formula comes out at 624 meV per atom.

---

No. 14
Density functional theory data (GGA-PBE) for a relaxed Zr2ScCuH crystal.

It has space group P4/mmm (No. 123), with a = 4.340 Å, b = 4.340 Å, c = 4.411 Å, α = 90.00°, β = 90.00° and γ = 90.00°. Symmetry generates all atoms from Zr at (0.000, 0.500, 0.000), Sc at (0.000, 0.000, 0.500), Cu at (0.500, 0.500, 0.500) and H at (0.000, 0.000, 0.000).

Its electronic total energy is -6.281 eV per atom.

---

No. 15
Density functional theory data (GGA-PBE) for a relaxed Cu3H2Se4 crystal.

It has space group P-1 (No. 2), with a = 5.429 Å, b = 5.744 Å, c = 6.707 Å, α = 111.41°, β = 107.11° and γ = 90.99°. Symmetry generates all atoms from Cu at (0.000, 0.000, 0.000), Cu at (0.000, 0.500, 0.500), Cu at (0.500, 0.000, 0.000), H at (0.483, 0.284, 0.457), Se at (0.128, 0.608, 0.915) and Se at (0.308, 0.862, 0.607).

Its electronic total energy is -3.669 eV per atom.

---

No. 16
Density functional theory data (GGA-PBE) for a relaxed CuHSe3 crystal.

It has space group Pm-3m (No. 221), with a = 4.817 Å, b = 4.817 Å, c = 4.817 Å, α = 90.00°, β = 90.00° and γ = 90.00°. Symmetry generates all atoms from Cu at (0.000, 0.000, 0.000), H at (0.500, 0.500, 0.500) and Se at (0.000, 0.000, 0.500).

The distance to the lowest polymorph of the same formula comes out at 91 meV per atom.

---

No. 17
Density functional theory data (GGA-PBE) for a relaxed CuH2Se crystal.

It has space group I-42d (No. 122), with a = 3.622 Å, b = 3.622 Å, c = 12.620 Å, α = 90.00°, β = 90.00° and γ = 90.00°. Symmetry generates all atoms from Cu at (0.000, 0.000, 0.000), H at (0.183, 0.250, 0.125) and Se at (0.000, 0.000, 0.500).

The distance to the lowest polymorph of the same formula comes out at 442 meV per atom.

---

No. 18
Density functional theory data (GGA-PBE) for a relaxed CuH3Se crystal.

It has space group Pm-3m (No. 221), with a = 3.543 Å, b = 3.543 Å, c = 3.543 Å, α = 90.00°, β = 90.00° and γ = 90.00°. Symmetry generates all atoms from Cu at (0.000, 0.000, 0.000), H at (0.000, 0.000, 0.500) and Se at (0.500, 0.500, 0.500).

The distance to the lowest polymorph of the same formula comes out at 0 meV per atom.

---

No. 19
Density functional theory data (GGA-PBE) for a relaxed CuHSe2 crystal.

It has space group P2_1/c (No. 14), with a = 5.967 Å, b = 9.035 Å, c = 7.178 Å, α = 90.00°, β = 121.14° and γ = 90.00°. Symmetry generates all atoms from Cu at (0.140, 0.230, 0.328), H at (0.276, 0.652, 0.618), Se at (0.195, 0.688, 0.080) and Se at (0.329, 0.116, 0.148).

The distance to the lowest polymorph of the same formula comes out at 0 meV per atom.

---

No. 20
Density functional theory data (GGA-PBE) for a relaxed Cu12H5Se3 crystal.

It has space group Ia-3d (No. 230), with a = 12.289 Å, b = 12.289 Å, c = 12.289 Å, α = 90.00°, β = 90.00° and γ = 90.00°. Symmetry generates all atoms from Cu at (0.046, 0.141, 0.952), H at (0.000, 0.000, 0.000), H at (0.000, 0.250, 0.375) and Se at (0.000, 0.250, 0.125).

Its electronic total energy is -3.701 eV per atom.

---

No. 21
Density functional theory data (GGA-PBE) for a relaxed CuHSe2 crystal.

It has space group I-42d (No. 122), with a = 5.263 Å, b = 5.263 Å, c = 9.653 Å, α = 90.00°, β = 90.00° and γ = 90.00°. Symmetry generates all atoms from Cu at (0.000, 0.000, 0.000), H at (0.000, 0.000, 0.500) and Se at (0.206, 0.250, 0.625).

The distance to the lowest polymorph of the same formula comes out at 290 meV per atom.

---

No. 22
Density functional theory data (GGA-PBE) for a relaxed Cu2HSe crystal.

It has space group R3m (No. 160, hexagonal axes), with a = 3.0745 Å, b = 3.0745 Å, c = 17.9573 Å, α = 90.00°, β = 90.00° and γ = 120.00°. Symmetry generates all atoms from Cu at (0.0000, 0.0000, 0.0000), Cu at (0.0000, 0.0000, 0.2312), H at (0.0000, 0.0000, 0.6252) and Se at (0.0000, 0.0000, 0.7936).

The distance to the lowest polymorph of the same formula comes out at 221 meV per atom.

---

No. 23
Density functional theory data (GGA-PBE) for a relaxed Cu3HSe crystal.

It has space group Pm-3m (No. 221), with a = 4.564 Å, b = 4.564 Å, c = 4.564 Å, α = 90.00°, β = 90.00° and γ = 90.00°. Symmetry generates all atoms from Cu at (0.000, 0.000, 0.500), H at (0.500, 0.500, 0.500) and Se at (0.000, 0.000, 0.000).

The distance to the lowest polymorph of the same formula comes out at 605 meV per atom.

---

no.,magnetic moment (μB/cell)
1,0.0
2,2.5
3,0.0
4,0.3
5,0.0
6,0.0
7,0.2
8,0.0
9,0.0
10,2.3
11,2.3
12,1.7
13,0.0
14,0.0
15,0.0
16,1.1
17,0.0
18,0.0
19,0.0
20,0.0
21,0.0
22,0.0
23,0.0